[1]
This record from Alexandria via LeMat-Bulk describes crystalline PrHoCdAu at its relaxed geometry. The functional is PBE.

For the polymorph energy (0 for the lowest one), the calculation gives 44 meV/atom. For the formation energy, the calculation gives -0.5197 eV per atom.

The structure belongs to space group F-43m (No. 216); the cell edges are 7.467, 7.467 and 7.467 Å and the angles 90.00°, 90.00° and 90.00°. Symmetry generates all atoms from Pr at (0.000, 0.000, 0.000), Ho at (0.000, 0.000, 0.500), Cd at (0.250, 0.250, 0.250) and Au at (0.250, 0.250, 0.750).

[2]
This record from Alexandria via LeMat-Bulk describes crystalline HoCdPtAu at its relaxed geometry. The functional is PBE.

For the formation energy, the calculation gives -0.7532 eV per atom.

The structure belongs to space group F-43m (No. 216); the cell edges are 6.869, 6.869 and 6.869 Å and the angles 90.00°, 90.00° and 90.00°. Symmetry generates all atoms from Ho at (0.000, 0.000, 0.000), Cd at (0.000, 0.000, 0.500), Pt at (0.250, 0.250, 0.750) and Au at (0.250, 0.250, 0.250).